[1]
A relaxed structure of CsLiBeBr4, computed with PBE-GGA.

Its total energy is -3.285 eV/atom. The formation energy from raw total energies comes out at -1.401 eV/atom.

Lattice parameters (Å, degrees): 6.2111 7.4915 9.9904 90.00 108.70 90.00
With the nearest neighbours (Å) after each atom.
Element x y z (fractional)
Cs 0.6544 0.7500 0.8761  9 Br 3.68-4.11
Cs 0.3456 0.2500 0.1239  9 Br 3.68-4.11
Li 0.8657 0.7500 0.4841  3 Br 2.54-2.72
Li 0.1343 0.2500 0.5159  3 Br 2.54-2.72
Be 0.1695 0.7500 0.2959  4 Br 2.17-2.24
Be 0.8305 0.2500 0.7041  4 Br 2.17-2.24
Br 0.0496 0.4862 0.7003  1 Be 2.24
Br 0.9504 0.9862 0.2997  1 Be 2.24
Br 0.9504 0.5138 0.2997  1 Be 2.24
Br 0.0496 0.0138 0.7003  1 Be 2.24
Br 0.2608 0.7500 0.1029  1 Be 2.18
Br 0.7392 0.2500 0.8971  1 Be 2.18
Br 0.4590 0.7500 0.4877  1 Be 2.17
Br 0.5410 0.2500 0.5123  1 Be 2.17

[2]
A relaxed structure of CsLiBe2Br, computed with PBE-GGA.

Its total energy is -1.814 eV/atom. The formation energy from raw total energies comes out at 0.565 eV/atom.

Lattice parameters (Å, degrees): 4.8792 7.4810 4.8792 90.00 90.00 90.00
With the nearest neighbours (Å) after each atom.
Element x y z (fractional)
Cs 0.0000 0.5000 0.0000  4 Br 3.45, 2 Li 3.74
Be 0.0000 0.0000 0.5000  2 Li 2.44
Be 0.5000 0.0000 0.0000  2 Li 2.44
Br 0.5000 0.5000 0.5000  4 Cs 3.45
Li 0.0000 0.0000 0.0000  4 Be 2.44

[3]
A relaxed structure of CsLiBe2Br6, computed with PBE-GGA.

Its total energy is -3.269 eV/atom. The formation energy from raw total energies comes out at -1.243 eV/atom.

Lattice parameters (Å, degrees): 7.0695 7.0695 9.1882 67.37 67.37 60.00
With the nearest neighbours (Å) after each atom.
Element x y z (fractional)
Cs 0.0000 0.0000 0.0000  6 Br 3.70
Li 0.5000 0.5000 0.5000  6 Br 2.82
Be 0.7678 0.7678 0.6965  3 Br 2.09
Be 0.2322 0.2322 0.3035  3 Br 2.09
Br 0.0839 0.5021 0.7081  1 Be 2.09
Br 0.7059 0.0839 0.7081  1 Be 2.09
Br 0.4979 0.2941 0.2919  1 Be 2.09
Br 0.9161 0.4979 0.2919  1 Be 2.09
Br 0.2941 0.9161 0.2919  1 Be 2.09
Br 0.5021 0.7059 0.7081  1 Be 2.09

[4]
A relaxed structure of CsLi2BeBr, computed with PBE-GGA.

Its total energy is -1.040 eV/atom. The formation energy from raw total energies comes out at 0.976 eV/atom.

Lattice parameters (Å, degrees): 6.8568 6.8568 6.6744 90.00 90.00 90.00
With the nearest neighbours (Å) after each atom.
Element x y z (fractional)
Cs 0.0000 0.0000 0.0000  2 Be 3.34, 4 Li 3.43
Be 0.0000 0.0000 0.5000  2 Cs 3.34
Br 0.5000 0.5000 0.5000  8 Li 4.78, 4 Be 4.85
Li 0.0000 0.5000 0.0000  2 Cs 3.43
Li 0.5000 0.0000 0.0000  2 Cs 3.43